1.
AlTcPt3 | PBE | optimized geometry

a b c (Å): 4.552 4.552 4.552
angles (deg): 90.00 90.00 90.00
Space group Pm-3m (No. 221)
Asymmetric unit:
Al: 0.000 0.000 0.000 (multiplicity 1)
Tc: 0.500 0.500 0.500 (multiplicity 1)
Pt: 0.000 0.000 0.500 (multiplicity 3)

Results
calculated formation energy	695	meV/atom

***

2.
HfTi8Ga2 | PBE | optimized geometry

a b c (Å): 7.361 12.741 4.845
angles (deg): 90.00 121.57 90.00
Space group C2/m (No. 12)
Asymmetric unit:
Hf: 0.000 0.000 0.000 (multiplicity 2)
Ti: 0.000 0.217 0.000 (multiplicity 4)
Ti: 0.076 0.500 0.789 (multiplicity 4)
Ti: 0.211 0.113 0.661 (multiplicity 8)
Ga: 0.000 0.307 0.500 (multiplicity 4)

Results
calculated formation energy	-44	meV/atom

***

3.
Ho3Pu4Ru4 | PBE | optimized geometry

a b c (Å): 3.287 9.982 13.307
angles (deg): 90.00 90.00 90.00
Space group Immm (No. 71)
Asymmetric unit:
Ho: 0.000 0.000 0.000 (multiplicity 2)
Ho: 0.000 0.500 0.114 (multiplicity 4)
Pu: 0.000 0.280 0.311 (multiplicity 8)
Ru: 0.000 0.000 0.209 (multiplicity 4)
Ru: 0.000 0.224 0.500 (multiplicity 4)

Results
calculated formation energy	-45	meV/atom

***

4.
ScPS4 | PBE | optimized geometry

a b c (Å): 6.052 13.018 10.565
angles (deg): 90.00 106.52 90.00
Space group C2/c (No. 15)
Asymmetric unit:
Sc: 0.000 0.123 0.250 (multiplicity 4)
P: 0.000 0.377 0.750 (multiplicity 4)
S: 0.143 0.285 0.635 (multiplicity 8)
S: 0.242 0.032 0.134 (multiplicity 8)

Results
E_form (uncorrected)	-813	meV per atom

***

5.
Mg2InAg | PBE | optimized geometry

a b c (Å): 3.637 4.723 9.878
angles (deg): 90.00 90.00 90.00
Space group Imm2 (No. 44)
Asymmetric unit:
Mg: 0.000 0.000 0.000 (multiplicity 2)
Mg: 0.000 0.500 0.232 (multiplicity 2)
In: 0.000 0.000 0.467 (multiplicity 2)
Ag: 0.000 0.500 0.729 (multiplicity 2)

Results
calculated formation energy	-90	meV/atom

***

6.
Rb2HfTe | PBE | optimized geometry

a b c (Å): 13.168 13.168 5.528
angles (deg): 90.00 90.00 90.00
Space group I-42d (No. 122)
Asymmetric unit:
Rb: 0.101 0.250 0.125 (multiplicity 8)
Hf: 0.000 0.000 0.500 (multiplicity 4)
Te: 0.000 0.000 0.000 (multiplicity 4)

Results
E_form (uncorrected)	304	meV per atom

***

7.
Pu2UGeC | PBE | optimized geometry

a b c (Å): 3.455 11.645 9.382
angles (deg): 90.00 90.00 90.00
Space group Cmcm (No. 63)
Asymmetric unit:
Pu: 0.000 0.186 0.034 (multiplicity 8)
U: 0.000 0.482 0.250 (multiplicity 4)
Ge: 0.000 0.233 0.750 (multiplicity 4)
C: 0.000 0.000 0.000 (multiplicity 4)

Results
calculated formation energy	250	meV/atom

***

8.
MgSnRu | PBE | optimized geometry

a b c (Å): 8.786 4.483 6.316
angles (deg): 90.00 90.00 90.00
Space group Pnma (No. 62)
Asymmetric unit:
Mg: 0.118 0.250 0.213 (multiplicity 4)
Sn: 0.157 0.250 0.716 (multiplicity 4)
Ru: 0.111 0.750 0.481 (multiplicity 4)

Results
calculated formation energy	-167	meV/atom

***

9.
Sr2YCr | PBE | optimized geometry

a b c (Å): 4.396 5.606 5.729
angles (deg): 90.00 90.00 90.00
Space group Pmmm (No. 47)
Asymmetric unit:
Sr: 0.000 0.000 0.000 (multiplicity 1)
Sr: 0.500 0.500 0.000 (multiplicity 1)
Y: 0.000 0.500 0.500 (multiplicity 1)
Cr: 0.500 0.000 0.500 (multiplicity 1)

Results
calculated formation energy	573	meV/atom

***

10.
Hf12Sb6Os | PBE | optimized geometry

a b c (Å): 12.3069 12.3069 10.6666
angles (deg): 90.00 90.00 120.00
Space group R-3 (No. 148, hexagonal axes)
Asymmetric unit:
Hf: 0.0240 0.8609 0.3762 (multiplicity 18)
Hf: 0.0719 0.8741 0.8731 (multiplicity 18)
Sb: 0.0311 0.7413 0.6307 (multiplicity 18)
Os: 0.0000 0.0000 0.0000 (multiplicity 3)

Results
E_form (uncorrected)	-94	meV per atom

***

11.
Tb8Zn2Os | PBE | optimized geometry

a b c (Å): 17.508 5.157 6.810
angles (deg): 90.00 107.39 90.00
Space group C2/m (No. 12)
Asymmetric unit:
Tb: 0.027 0.000 0.291 (multiplicity 4)
Tb: 0.090 0.500 0.934 (multiplicity 4)
Tb: 0.160 0.500 0.466 (multiplicity 4)
Tb: 0.199 0.000 0.810 (multiplicity 4)
Zn: 0.185 0.000 0.218 (multiplicity 4)
Os: 0.000 0.500 0.500 (multiplicity 2)

Results
calculated formation energy	-173	meV/atom

***

12.
BaScS2F | PBE | optimized geometry

a b c (Å): 5.123 5.123 4.200
angles (deg): 90.00 90.00 90.00
Space group P4/mmm (No. 123)
Asymmetric unit:
Ba: 0.000 0.000 0.000 (multiplicity 1)
Sc: 0.500 0.500 0.500 (multiplicity 1)
S: 0.000 0.500 0.500 (multiplicity 2)
F: 0.500 0.500 0.000 (multiplicity 1)

Results
E_form (uncorrected)	-2570	meV per atom

***

Number 1: size of the total moment 4.15 μB per formula unit, total energy -28.8 eV for the cell shown. Number 2: size of the total moment 0.00 μB per formula unit, total energy -159.3 eV for the cell shown. Number 3: size of the total moment 0.00 μB per formula unit, total energy -217.3 eV for the cell shown. Number 4: size of the total moment 0.00 μB per formula unit, total energy -132.5 eV for the cell shown. Number 5: size of the total moment 0.00 μB per formula unit, total energy -18.3 eV for the cell shown. Number 6: size of the total moment 1.99 μB per formula unit, total energy -55.2 eV for the cell shown. Number 7: size of the total moment 4.32 μB per formula unit, total energy -210.2 eV for the cell shown. Number 8: size of the total moment 0.00 μB per formula unit, total energy -61.5 eV for the cell shown. Number 9: size of the total moment 4.82 μB per formula unit, total energy -17.2 eV for the cell shown. Number 10: size of the total moment 0.00 μB per formula unit, total energy -471.6 eV for the cell shown. Number 11: size of the total moment 0.00 μB per formula unit, total energy -105.4 eV for the cell shown. Number 12: size of the total moment 0.00 μB per formula unit, total energy -31.2 eV for the cell shown.